VASP calculation (PBE) on a geometry-optimized ScInCl2 structure.

Geometry as POSCAR:
```
ScInCl2
1.0
3.282 -4.644 0.000
3.282 4.644 0.000
-1.808 0.000 3.028
Sc In Cl
1 1 2
Cartesian
0.000 0.000 0.000 Sc
3.282 0.000 0.000 In
1.641 2.322 0.000 Cl
1.641 -2.322 0.000 Cl
```

- formation energy from raw total energies (meV per atom) = -820
- distance to the lowest polymorph of the same formula (meV per atom) = 451
- crystal system = monoclinic
- density of states at the Fermi level (states/eV per cell) = 1.48